# TcSn2

TcSn2 after structural relaxation (PBE, OQMD).

Unit cell a=8.2131 b=8.2131 c=8.2131 alpha=60.00 beta=60.00 gamma=60.00
Closest atoms and distances in Å follow each position.
Sites, in units of the cell vectors:
Tc: 0.1250 0.1250 0.1250  4 Sn 2.51
Tc: 0.8750 0.8750 0.8750  4 Sn 2.51
Sn: 0.0000 0.0000 0.0000  2 Tc 2.51
Sn: 0.0000 0.0000 0.5000  2 Tc 2.51
Sn: 0.0000 0.5000 0.0000  2 Tc 2.51
Sn: 0.5000 0.0000 0.0000  2 Tc 2.51

Values from the calculation:
ρ ... 2.84 g/cm³
Spin magnetization ... 0.00 μB/f.u.
Polymorph energy (0 for the lowest one) ... 1.006 eV/atom